# 1
Below is an optimized crystal structure of V2GeSb, with properties calculated at the PBE-GGA level.

abc: 3.654 3.654 18.526
angles: 90.00 90.00 120.00
Atoms (fractional coordinates):
V1 0.000 0.000 0.234
V2 0.000 0.000 0.766
V3 0.333 0.667 0.433
V4 0.333 0.667 0.901
V5 0.667 0.333 0.099
V6 0.667 0.333 0.567
Ge1 0.000 0.000 0.500
Ge2 0.333 0.667 0.167
Ge3 0.667 0.333 0.833
Sb1 0.000 0.000 0.000
Sb2 0.333 0.667 0.667
Sb3 0.667 0.333 0.333

Properties
Space group ... R-3m, No. 166
Excess energy over the best structure of this formula in the dataset ... 0.006 eV per atom
M_tot ... 0.00 μB per atom

# 2
Below is an optimized crystal structure of VGeSbW2, with properties calculated at the PBE-GGA level.

abc: 4.643 4.643 4.868
angles: 90.00 90.00 90.00
Atoms (fractional coordinates):
V1 0.000 0.000 0.000
Ge1 0.500 0.500 0.500
Sb1 0.000 0.000 0.500
W1 0.000 0.500 0.000
W2 0.500 0.000 0.000

Properties
Space group ... P4/mmm, No. 123
Excess energy over the best structure of this formula in the dataset ... 0.176 eV per atom
M_tot ... 0.00 μB per atom

# 3
Below is an optimized crystal structure of VGeSbW2, with properties calculated at the PBE-GGA level.

abc: 4.670 4.670 4.489
angles: 90.00 90.00 90.00
Atoms (fractional coordinates):
V1 0.000 0.000 0.000
Ge1 0.000 0.000 0.500
Sb1 0.500 0.500 0.000
W1 0.000 0.500 0.500
W2 0.500 0.000 0.500

Properties
Space group ... P4/mmm, No. 123
Excess energy over the best structure of this formula in the dataset ... 0.000 eV per atom
M_tot ... 0.00 μB per atom

# 4
Below is an optimized crystal structure of GeSb2W2, with properties calculated at the PBE-GGA level.

abc: 8.054 8.054 3.105
angles: 90.00 90.00 90.00
Atoms (fractional coordinates):
Ge1 0.000 0.000 0.000
Ge2 0.500 0.500 0.000
Sb1 0.150 0.350 0.000
Sb2 0.350 0.850 0.000
Sb3 0.650 0.150 0.000
Sb4 0.850 0.650 0.000
W1 0.142 0.642 0.500
W2 0.358 0.142 0.500
W3 0.642 0.858 0.500
W4 0.858 0.358 0.500

Properties
Space group ... P4/mbm, No. 127
Excess energy over the best structure of this formula in the dataset ... 0.232 eV per atom
M_tot ... 0.00 μB per atom

# 5
Below is an optimized crystal structure of Ge3SbW, with properties calculated at the PBE-GGA level.

abc: 4.958 4.958 4.958
angles: 90.00 90.00 90.00
Atoms (fractional coordinates):
Ge1 0.000 0.000 0.500
Ge2 0.000 0.500 0.000
Ge3 0.500 0.000 0.000
Sb1 0.500 0.500 0.500
W1 0.000 0.000 0.000

Properties
Space group ... Pm-3m, No. 221
Excess energy over the best structure of this formula in the dataset ... 0.000 eV per atom
M_tot ... 0.00 μB per atom

# 6
Below is an optimized crystal structure of GeSbW2, with properties calculated at the PBE-GGA level.

abc: 6.484 6.484 6.484
angles: 90.00 90.00 90.00
Atoms (fractional coordinates):
Ge1 0.000 0.000 0.000
Ge2 0.000 0.500 0.500
Ge3 0.500 0.000 0.500
Ge4 0.500 0.500 0.000
Sb1 0.000 0.000 0.500
Sb2 0.000 0.500 0.000
Sb3 0.500 0.000 0.000
Sb4 0.500 0.500 0.500
W1 0.250 0.250 0.250
W2 0.250 0.250 0.750
W3 0.250 0.750 0.250
W4 0.250 0.750 0.750
W5 0.750 0.250 0.250
W6 0.750 0.250 0.750
W7 0.750 0.750 0.250
W8 0.750 0.750 0.750

Properties
Space group ... Fm-3m, No. 225
Excess energy over the best structure of this formula in the dataset ... 0.000 eV per atom
M_tot ... 0.00 μB per atom

# 7
Below is an optimized crystal structure of GeSbW3, with properties calculated at the PBE-GGA level.

abc: 4.658 4.658 4.658
angles: 90.00 90.00 90.00
Atoms (fractional coordinates):
Ge1 0.000 0.000 0.000
Sb1 0.500 0.500 0.500
W1 0.000 0.000 0.500
W2 0.000 0.500 0.000
W3 0.500 0.000 0.000

Properties
Space group ... Pm-3m, No. 221
Excess energy over the best structure of this formula in the dataset ... 0.000 eV per atom
M_tot ... 0.00 μB per atom

# 8
Below is an optimized crystal structure of Ge2Sb2W, with properties calculated at the PBE-GGA level.

abc: 6.800 6.800 4.595
angles: 90.00 90.00 90.00
Atoms (fractional coordinates):
Ge1 0.141 0.359 0.000
Ge2 0.359 0.859 0.000
Ge3 0.641 0.141 0.000
Ge4 0.859 0.641 0.000
Sb1 0.177 0.677 0.500
Sb2 0.323 0.177 0.500
Sb3 0.677 0.823 0.500
Sb4 0.823 0.323 0.500
W1 0.000 0.000 0.000
W2 0.500 0.500 0.000

Properties
Space group ... P4/mbm, No. 127
Excess energy over the best structure of this formula in the dataset ... 0.000 eV per atom
M_tot ... 0.11 μB per atom

# 9
Below is an optimized crystal structure of GeSbW3, with properties calculated at the PBE-GGA level.

abc: 4.914 4.914 4.914
angles: 90.00 90.00 90.00
Atoms (fractional coordinates):
Ge1 0.000 0.000 0.000
Sb1 0.500 0.500 0.500
W1 0.000 0.500 0.500
W2 0.500 0.000 0.500
W3 0.500 0.500 0.000

Properties
Space group ... Pm-3m, No. 221
Excess energy over the best structure of this formula in the dataset ... 0.954 eV per atom
M_tot ... 0.00 μB per atom

# 10
Below is an optimized crystal structure of Ge2Sb2W, with properties calculated at the PBE-GGA level.

abc: 3.849 3.849 16.449
angles: 90.00 90.00 90.00
Atoms (fractional coordinates):
Ge1 0.000 0.000 0.078
Ge2 0.000 0.000 0.922
Ge3 0.500 0.500 0.422
Ge4 0.500 0.500 0.578
Sb1 0.000 0.500 0.250
Sb2 0.000 0.500 0.750
Sb3 0.500 0.000 0.250
Sb4 0.500 0.000 0.750
W1 0.000 0.000 0.500
W2 0.500 0.500 0.000

Properties
Space group ... I4/mmm, No. 139
Excess energy over the best structure of this formula in the dataset ... 0.535 eV per atom
M_tot ... 0.29 μB per atom

# 11
Below is an optimized crystal structure of GeSbW2, with properties calculated at the PBE-GGA level.

abc: 4.111 4.111 18.611
angles: 90.00 90.00 90.00
Atoms (fractional coordinates):
Ge1 0.000 0.000 0.000
Ge2 0.000 0.500 0.250
Ge3 0.500 0.000 0.750
Ge4 0.500 0.500 0.500
Sb1 0.000 0.000 0.500
Sb2 0.000 0.500 0.750
Sb3 0.500 0.000 0.250
Sb4 0.500 0.500 0.000
W1 0.193 0.250 0.125
W2 0.250 0.693 0.375
W3 0.250 0.807 0.875
W4 0.307 0.250 0.625
W5 0.693 0.750 0.625
W6 0.750 0.193 0.875
W7 0.750 0.307 0.375
W8 0.807 0.750 0.125

Properties
Space group ... I-42d, No. 122
Excess energy over the best structure of this formula in the dataset ... 0.200 eV per atom
M_tot ... 0.00 μB per atom

# 12
Below is an optimized crystal structure of GeSb2W2, with properties calculated at the PBE-GGA level.

abc: 3.749 3.749 16.179
angles: 90.00 90.00 90.00
Atoms (fractional coordinates):
Ge1 0.000 0.000 0.000
Ge2 0.500 0.500 0.500
Sb1 0.000 0.000 0.384
Sb2 0.000 0.000 0.616
Sb3 0.500 0.500 0.116
Sb4 0.500 0.500 0.884
W1 0.000 0.500 0.250
W2 0.000 0.500 0.750
W3 0.500 0.000 0.250
W4 0.500 0.000 0.750

Properties
Space group ... I4/mmm, No. 139
Excess energy over the best structure of this formula in the dataset ... 0.000 eV per atom
M_tot ... 0.00 μB per atom

# 13
Below is an optimized crystal structure of YGeSb3, with properties calculated at the PBE-GGA level.

abc: 5.323 5.323 5.323
angles: 90.00 90.00 90.00
Atoms (fractional coordinates):
Y1 0.000 0.000 0.000
Ge1 0.500 0.500 0.500
Sb1 0.000 0.500 0.500
Sb2 0.500 0.000 0.500
Sb3 0.500 0.500 0.000

Properties
Space group ... Pm-3m, No. 221
Excess energy over the best structure of this formula in the dataset ... 0.000 eV per atom
M_tot ... 0.00 μB per atom

# 14
Below is an optimized crystal structure of YGeSb3, with properties calculated at the PBE-GGA level.

abc: 5.736 5.736 5.736
angles: 90.00 90.00 90.00
Atoms (fractional coordinates):
Y1 0.000 0.000 0.000
Ge1 0.500 0.500 0.500
Sb1 0.000 0.000 0.500
Sb2 0.000 0.500 0.000
Sb3 0.500 0.000 0.000

Properties
Space group ... Pm-3m, No. 221
Excess energy over the best structure of this formula in the dataset ... 0.351 eV per atom
M_tot ... 0.00 μB per atom

What energy relative to the elements, uncorrected values result from the calculations? In sequence: 0.147; 1.549; 1.374; 0.855; 0.604; 0.576; 1.700; 0.604; 2.654; 1.138; 0.776; 0.623; 0.244; 0.595 eV/atom.
What D(E_F) values result from the calculations? In sequence: 0.85; 1.12; 1.25; 0.78; 1.03; 2.15; 1.00; 0.77; 1.08; 0.90; 0.76; 0.67; 1.02; 0.93 states/eV per atom.